(1)
Computed, not measured: SrPrCd4 after structural relaxation at the GGA-PBE level of DFT.

The value obtained for the size of the total moment is 0.00 μB/cell. The relative energy among the computed polymorphs is 0.000 eV/f.u. The calculation puts the formation energy at -189.5 kJ/mol of formula units.

The space group is Immm (No. 71) and the conventional cell measures 5.044, 7.659 and 8.783 Å, with angles of 90.00, 90.00 and 90.00 degrees. The distinct sites, in fractional coordinates, are Sr at (0.000, 0.000, 0.000), Pr at (0.000, 0.500, 0.000) and Cd at (0.000, 0.236, 0.333).


(2)
Computed, not measured: Pr2Sm2Tl3 after structural relaxation at the GGA-PBE level of DFT.

The value obtained for the size of the total moment is 0.00 μB/cell. The relative energy among the computed polymorphs is 0.000 eV/f.u. The calculation puts the formation energy at -185.0 kJ/mol of formula units.

The space group is P-1 (No. 2) and the conventional cell measures 4.482, 6.426 and 7.921 Å, with angles of 82.84, 89.95 and 69.67 degrees. The distinct sites, in fractional coordinates, are Pr at (0.070, 0.360, 0.206), Sm at (0.199, 0.101, 0.652), Tl at (0.347, 0.806, 0.061) and Tl at (0.500, 0.500, 0.500).


(3)
Computed, not measured: Tm6Cd2Fe after structural relaxation at the GGA-PBE level of DFT.

The value obtained for the size of the total moment is 0.01 μB/cell. The calculation puts the formation energy at -105.9 kJ/mol of formula units.

The space group is Amm2 (No. 38) and the conventional cell measures 3.679, 14.646 and 8.577 Å, with angles of 90.00, 90.00 and 90.00 degrees. The distinct sites, in fractional coordinates, are Tm at (0.000, 0.000, 0.000), Tm at (0.000, 0.115, 0.640), Tm at (0.500, 0.000, 0.362), Tm at (0.500, 0.195, 0.952), Cd at (0.000, 0.168, 0.258) and Fe at (0.500, 0.000, 0.774).


(4)
Computed, not measured: TmTh12Sc6 after structural relaxation at the GGA-PBE level of DFT.

The value obtained for the size of the total moment is 0.00 μB/cell. The calculation puts the formation energy at 452.2 kJ/mol of formula units.

The space group is Im-3 (No. 204) and the conventional cell measures 10.434, 10.434 and 10.434 Å, with angles of 90.00, 90.00 and 90.00 degrees. The distinct sites, in fractional coordinates, are Tm at (0.000, 0.000, 0.000), Th at (0.000, 0.183, 0.268) and Sc at (0.000, 0.352, 0.500).


(5)
Computed, not measured: NbAlV3 after structural relaxation at the GGA-PBE level of DFT.

The value obtained for the size of the total moment is 0.00 μB/cell. The relative energy among the computed polymorphs is 6.238 eV/f.u. The calculation puts the formation energy at 570.5 kJ/mol of formula units.

The space group is Pm-3m (No. 221) and the conventional cell measures 4.433, 4.433 and 4.433 Å, with angles of 90.00, 90.00 and 90.00 degrees. The distinct sites, in fractional coordinates, are Nb at (0.000, 0.000, 0.000), Al at (0.500, 0.500, 0.500) and V at (0.000, 0.500, 0.500).


(6)
Computed, not measured: La3Ta after structural relaxation at the GGA-PBE level of DFT.

The value obtained for the size of the total moment is 0.00 μB/cell. The calculation puts the formation energy at 171.9 kJ/mol of formula units.

The space group is P-6m2 (No. 187) and the conventional cell measures 3.4005, 3.4005 and 11.8096 Å, with angles of 90.00, 90.00 and 120.00 degrees. The distinct sites, in fractional coordinates, are La at (0.0000, 0.0000, 0.0000), La at (0.6667, 0.3333, 0.2769) and Ta at (0.0000, 0.0000, 0.5000).


(7)
Computed, not measured: YTm3Mg7 after structural relaxation at the GGA-PBE level of DFT.

The value obtained for the size of the total moment is 0.00 μB/cell. The calculation puts the formation energy at 214.0 kJ/mol of formula units.

The space group is C2/m (No. 12) and the conventional cell measures 10.725, 10.083 and 6.030 Å, with angles of 90.00, 107.70 and 90.00 degrees. The distinct sites, in fractional coordinates, are Y at (0.000, 0.000, 0.000), Tm at (0.000, 0.309, 0.500), Tm at (0.000, 0.500, 0.000), Mg at (0.000, 0.000, 0.500), Mg at (0.194, 0.257, 0.191) and Mg at (0.237, 0.500, 0.520).


(8)
Computed, not measured: Na2TlAgCl4 after structural relaxation at the GGA-PBE level of DFT.

The value obtained for the size of the total moment is 0.00 μB/cell. The calculation puts the formation energy from raw total energies at -9.92 eV/f.u.

The space group is Cmcm (No. 63) and the conventional cell measures 4.149, 14.079 and 14.723 Å, with angles of 90.00, 90.00 and 90.00 degrees. The distinct sites, in fractional coordinates, are Na at (0.000, 0.124, 0.046), Tl at (0.000, 0.367, 0.250), Ag at (0.000, 0.351, 0.750), Cl at (0.000, 0.040, 0.250), Cl at (0.000, 0.243, 0.609) and Cl at (0.000, 0.500, 0.000).


(9)
Computed, not measured: BeV2P after structural relaxation at the GGA-PBE level of DFT.

The value obtained for the size of the total moment is 0.00 μB/cell. The relative energy among the computed polymorphs is 1.574 eV/f.u. The calculation puts the formation energy at -88.5 kJ/mol of formula units.

The space group is P4/mmm (No. 123) and the conventional cell measures 3.057, 3.057 and 5.027 Å, with angles of 90.00, 90.00 and 90.00 degrees. The distinct sites, in fractional coordinates, are Be at (0.000, 0.000, 0.000), V at (0.500, 0.500, 0.261) and P at (0.000, 0.000, 0.500).


(10)
Computed, not measured: Rb3Y3NbS8 after structural relaxation at the GGA-PBE level of DFT.

The value obtained for the size of the total moment is 3.04 μB/cell. The calculation puts the formation energy from raw total energies at -24.63 eV/f.u.

The space group is R-3m (No. 166, hexagonal axes) and the conventional cell measures 7.9011, 7.9011 and 23.5429 Å, with angles of 90.00, 90.00 and 120.00 degrees. The distinct sites, in fractional coordinates, are Rb at (0.0000, 0.5000, 0.0000), Y at (0.0000, 0.5000, 0.5000), Nb at (0.0000, 0.0000, 0.5000), S at (0.0000, 0.0000, 0.2310) and S at (0.0226, 0.5113, 0.2276).


(11)
Computed, not measured: Nd4Ho5Er4 after structural relaxation at the GGA-PBE level of DFT.

The value obtained for the size of the total moment is 0.00 μB/cell. The calculation puts the formation energy at 27.0 kJ/mol of formula units.

The space group is I4/m (No. 87) and the conventional cell measures 12.872, 12.872 and 5.033 Å, with angles of 90.00, 90.00 and 90.00 degrees. The distinct sites, in fractional coordinates, are Nd at (0.078, 0.382, 0.000), Ho at (0.000, 0.000, 0.000), Ho at (0.039, 0.189, 0.500) and Er at (0.153, 0.771, 0.000).


(12)
Computed, not measured: CdSbRh2 after structural relaxation at the GGA-PBE level of DFT.

The value obtained for the size of the total moment is 0.00 μB/cell. The calculation puts the formation energy from raw total energies at -0.54 eV/f.u.

The space group is R-3m (No. 166, hexagonal axes) and the conventional cell measures 3.2435, 3.2435 and 24.0468 Å, with angles of 90.00, 90.00 and 120.00 degrees. The distinct sites, in fractional coordinates, are Cd at (0.0000, 0.0000, 0.0000), Sb at (0.0000, 0.0000, 0.5000) and Rh at (0.0000, 0.0000, 0.2442).


(13)
Computed, not measured: NaAc5Tl6 after structural relaxation at the GGA-PBE level of DFT.

The value obtained for the size of the total moment is 0.00 μB/cell. The calculation puts the formation energy at -373.9 kJ/mol of formula units.

The space group is P2/m (No. 10) and the conventional cell measures 5.797, 8.134 and 9.191 Å, with angles of 90.00, 108.25 and 90.00 degrees. The distinct sites, in fractional coordinates, are Na at (0.000, 0.000, 0.000), Ac at (0.000, 0.500, 0.000), Ac at (0.330, 0.500, 0.660), Ac at (0.341, 0.000, 0.681), Tl at (0.162, 0.239, 0.325) and Tl at (0.500, 0.248, 0.000).


(14)
Computed, not measured: RbYAl2 after structural relaxation at the GGA-PBE level of DFT.

The value obtained for the size of the total moment is 0.00 μB/cell. The relative energy among the computed polymorphs is 0.000 eV/f.u. The calculation puts the formation energy at 137.4 kJ/mol of formula units.

The space group is Fm-3m (No. 225) and the conventional cell measures 7.737, 7.737 and 7.737 Å, with angles of 90.00, 90.00 and 90.00 degrees. The distinct sites, in fractional coordinates, are Rb at (0.000, 0.000, 0.000), Y at (0.000, 0.000, 0.500) and Al at (0.250, 0.250, 0.250).


(15)
Computed, not measured: La2CdBr2 after structural relaxation at the GGA-PBE level of DFT.

The value obtained for the size of the total moment is 0.00 μB/cell. The calculation puts the formation energy from raw total energies at -4.38 eV/f.u.

The space group is P4/mbm (No. 127) and the conventional cell measures 8.852, 8.852 and 3.756 Å, with angles of 90.00, 90.00 and 90.00 degrees. The distinct sites, in fractional coordinates, are La at (0.166, 0.334, 0.000), Cd at (0.000, 0.000, 0.000) and Br at (0.129, 0.629, 0.500).


(16)
Computed, not measured: Tb8FeHg2 after structural relaxation at the GGA-PBE level of DFT.

The value obtained for the size of the total moment is 0.98 μB/cell. The relative energy among the computed polymorphs is 1.356 eV/f.u. The calculation puts the formation energy at -25.7 kJ/mol of formula units.

The space group is Immm (No. 71) and the conventional cell measures 5.041, 8.471 and 14.267 Å, with angles of 90.00, 90.00 and 90.00 degrees. The distinct sites, in fractional coordinates, are Tb at (0.000, 0.000, 0.123), Tb at (0.000, 0.227, 0.346), Tb at (0.000, 0.326, 0.000), Fe at (0.000, 0.500, 0.500) and Hg at (0.000, 0.500, 0.201).


(17)
Computed, not measured: NbCr2HOs after structural relaxation at the GGA-PBE level of DFT.

The value obtained for the size of the total moment is 0.04 μB/cell. The relative energy among the computed polymorphs is 0.172 eV/f.u.

The space group is P4/mmm (No. 123) and the conventional cell measures 3.886, 3.886 and 3.882 Å, with angles of 90.00, 90.00 and 90.00 degrees. The distinct sites, in fractional coordinates, are Nb at (0.000, 0.000, 0.000), Cr at (0.000, 0.500, 0.500), H at (0.500, 0.500, 0.500) and Os at (0.500, 0.500, 0.000).


(18)
Computed, not measured: GeAsN2 after structural relaxation at the GGA-PBE level of DFT.

The value obtained for the size of the total moment is 0.00 μB/cell. The relative energy among the computed polymorphs is 0.879 eV/f.u. The calculation puts the formation energy from raw total energies at 2.69 eV/f.u.

The space group is I-42d (No. 122) and the conventional cell measures 5.124, 5.124 and 8.279 Å, with angles of 90.00, 90.00 and 90.00 degrees. The distinct sites, in fractional coordinates, are Ge at (0.000, 0.000, 0.000), As at (0.000, 0.000, 0.500) and N at (0.177, 0.250, 0.125).


(19)
Computed, not measured: Cd3PdAu after structural relaxation at the GGA-PBE level of DFT.

The value obtained for the size of the total moment is 0.00 μB/cell. The relative energy among the computed polymorphs is 0.000 eV/f.u. The calculation puts the formation energy at -75.1 kJ/mol of formula units.

The space group is Cm (No. 8) and the conventional cell measures 9.637, 3.156 and 6.781 Å, with angles of 90.00, 103.96 and 90.00 degrees. The distinct sites, in fractional coordinates, are Cd at (0.000, 0.000, 0.000), Cd at (0.075, 0.000, 0.477), Cd at (0.271, 0.500, 0.249), Pd at (0.194, 0.500, 0.831) and Au at (0.376, 0.000, 0.636).


(20)
Computed, not measured: AlHg2F8 after structural relaxation at the GGA-PBE level of DFT.

The value obtained for the size of the total moment is 2.01 μB/cell. The calculation puts the formation energy from raw total energies at -22.26 eV/f.u.

The space group is C2/m (No. 12) and the conventional cell measures 9.502, 7.417 and 5.059 Å, with angles of 90.00, 116.66 and 90.00 degrees. The distinct sites, in fractional coordinates, are Al at (0.000, 0.000, 0.000), Hg at (0.190, 0.500, 0.306), F at (0.054, 0.500, 0.792), F at (0.106, 0.000, 0.774) and F at (0.136, 0.168, 0.249).


(21)
Computed, not measured: ScTc2Mo2 after structural relaxation at the GGA-PBE level of DFT.

The value obtained for the size of the total moment is 0.00 μB/cell. The relative energy among the computed polymorphs is 1.307 eV/f.u. The calculation puts the formation energy at 68.1 kJ/mol of formula units.

The space group is P4/mbm (No. 127) and the conventional cell measures 7.613, 7.613 and 2.910 Å, with angles of 90.00, 90.00 and 90.00 degrees. The distinct sites, in fractional coordinates, are Sc at (0.000, 0.000, 0.000), Tc at (0.149, 0.351, 0.500) and Mo at (0.146, 0.646, 0.000).


(22)
Computed, not measured: ZrCr2Os after structural relaxation at the GGA-PBE level of DFT.

The value obtained for the size of the total moment is 0.41 μB/cell. The relative energy among the computed polymorphs is 1.060 eV/f.u. The calculation puts the formation energy at 123.5 kJ/mol of formula units.

The space group is P4/mmm (No. 123) and the conventional cell measures 3.732, 3.732 and 4.376 Å, with angles of 90.00, 90.00 and 90.00 degrees. The distinct sites, in fractional coordinates, are Zr at (0.000, 0.000, 0.000), Cr at (0.000, 0.500, 0.500) and Os at (0.500, 0.500, 0.000).


(23)
Computed, not measured: Ba3Au2 after structural relaxation at the GGA-PBE level of DFT.

The value obtained for the size of the total moment is 0.00 μB/cell. The relative energy among the computed polymorphs is 0.053 eV/f.u. The calculation puts the formation energy at -286.1 kJ/mol of formula units.

The space group is Pnma (No. 62) and the conventional cell measures 13.067, 4.679 and 13.222 Å, with angles of 90.00, 90.00 and 90.00 degrees. The distinct sites, in fractional coordinates, are Ba at (0.050, 0.250, 0.130), Ba at (0.117, 0.750, 0.561), Ba at (0.224, 0.250, 0.811), Au at (0.011, 0.750, 0.313) and Au at (0.190, 0.750, 0.000).